Li4Nb3Cr3Ni2O16 | Alexandria via LeMat-Bulk | PBE+U | relaxed; total moment = 0.32 μB per atom; calculated total energy = -200.91 eV/cell; space-group type = Cm (8); Fermi-level density of states = 0.1 states/eV/f.u.
1.0
-5.360 0.696 2.706
-4.043 -4.488 -0.225
3.676 -3.772 8.322
Li Nb Cr Ni O
4 3 3 2 16
Cartesian
-2.760 -1.618 1.622
-5.701 -7.527 10.752
-7.355 -5.640 6.670
-3.944 -4.904 6.901
1.252 -3.609 6.946
-4.775 -2.015 4.557
-4.124 -4.579 3.108
-1.369 -3.269 8.291
-0.721 -5.821 6.848
-6.761 -4.221 4.428
-1.291 -3.272 5.208
-2.726 -6.271 9.866
-2.857 -1.709 5.084
-2.094 -4.348 6.748
0.155 -4.646 8.287
2.509 -2.601 5.727
-8.732 -4.476 3.993
-2.163 -4.441 3.539
-0.291 -2.329 6.812
0.295 -4.635 5.508
-4.647 -6.573 9.538
-0.004 -2.091 3.696
-6.616 -2.262 3.911
-6.017 -4.617 2.579
-4.779 -4.018 4.959
-2.556 -4.244 9.685
-4.161 -2.599 2.727
-1.865 -6.962 8.148